# Rb3Tb2PaS6, optimized geometry, DFT PBE-GGA
# Fermi-level density of states	13.316	states/eV per cell
# ΔE_f (raw)	-1.698	eV/atom
data_Rb3Tb2PaS6
_chemical_formula_sum 'Rb6 Tb4 Pa2 S12'
_symmetry_space_group_name_H-M 'C 1 2/m 1'
_symmetry_Int_Tables_number 12
_cell_length_a 7.074
_cell_length_b 12.251
_cell_length_c 8.069
_cell_angle_alpha 90.00
_cell_angle_beta 106.98
_cell_angle_gamma 90.00
loop_
_symmetry_equiv_pos_as_xyz
'x,y,z'
'-x,-y,-z'
'-x,y,-z'
'x,-y,z'
'x+1/2,y+1/2,z'
'-x+1/2,-y+1/2,-z'
'-x+1/2,y+1/2,-z'
'x+1/2,-y+1/2,z'
loop_
_atom_site_label
_atom_site_type_symbol
_atom_site_fract_x
_atom_site_fract_y
_atom_site_fract_z
Rb1 Rb 0.000 0.000 0.000
Rb2 Rb 0.000 0.332 0.000
Tb1 Tb 0.000 0.167 0.500
Pa1 Pa 0.000 0.500 0.500
S1 S 0.230 0.335 0.694
S2 S 0.235 0.000 0.695